No. 1
A plane-wave DFT calculation with PBE was carried out for an optimized crystal structure of NdDyNi.

Output
ΔH_f (0 K)   -0.096 eV/atom
Energy above the lowest structure with this stoichiometry   0.000 eV per atom

POSCAR file:
```
NdDyNi
1.0
2.874 -2.532 2.889
-1.733 -1.884 4.057
-0.569 -4.748 0.389
Dy Nd Ni
1 1 1
Direct
0.250 0.250 0.250
0.750 0.750 0.750
0.000 0.000 0.000
```

No. 2
A plane-wave DFT calculation with PBE was carried out for an optimized crystal structure of NdDyNi2Pb.

Output
DFT total energy   -5.322 eV per atom

POSCAR file:
```
NdDyNi2Pb
1.0
3.752 0.000 0.000
0.000 2.015 7.264
0.000 -2.015 7.264
Dy Nd Ni Pb
1 1 2 1
Direct
0.500 0.640 0.640
0.500 0.362 0.362
0.000 0.199 0.199
0.000 0.795 0.795
0.000 0.004 0.004
```

No. 3
A plane-wave DFT calculation with PBE was carried out for an optimized crystal structure of Nd2DyNiSn3Pd2.

Output
DFT total energy   -5.520 eV per atom

POSCAR file:
```
Nd2DyNiSn3Pd2
1.0
4.010 0.000 0.000
0.000 6.559 3.799
0.000 -6.559 3.799
Dy Nd Ni Pd Sn
1 2 1 2 3
Direct
0.000 0.595 0.595
0.000 0.409 0.000
0.000 0.000 0.409
0.000 0.996 0.996
0.500 0.664 0.340
0.500 0.340 0.664
0.500 0.245 0.245
0.500 0.997 0.754
0.500 0.754 0.997
```

No. 4
A plane-wave DFT calculation with PBE was carried out for an optimized crystal structure of Nd2DyNiSn3Pt2.

Output
DFT total energy   -5.818 eV per atom

POSCAR file:
```
Nd2DyNiSn3Pt2
1.0
4.007 0.000 0.000
0.000 6.570 3.804
0.000 -6.570 3.804
Dy Nd Ni Pt Sn
1 2 1 2 3
Direct
0.000 0.406 0.406
0.000 0.000 0.591
0.000 0.591 0.000
0.000 0.005 0.005
0.500 0.659 0.336
0.500 0.336 0.659
0.500 0.246 0.003
0.500 0.003 0.246
0.500 0.754 0.754
```

No. 5
A plane-wave DFT calculation with PBE was carried out for an optimized crystal structure of NdDySi4Ni2.

Output
DFT total energy   -6.103 eV per atom

POSCAR file:
```
NdDySi4Ni2
1.0
-2.032 2.249 -2.650
-5.646 1.911 5.953
-2.837 4.840 6.284
Dy Nd Ni Si
1 1 2 4
Direct
0.000 0.607 0.607
0.500 0.395 0.395
0.500 0.179 0.179
0.000 0.819 0.819
0.500 0.042 0.042
0.000 0.249 0.249
0.500 0.748 0.748
0.000 0.961 0.961
```

No. 6
A plane-wave DFT calculation with PBE was carried out for an optimized crystal structure of NdDySi2Ni2.

Output
DFT total energy   -5.972 eV per atom

POSCAR file:
```
NdDySi2Ni2
1.0
4.090 0.000 0.000
0.000 4.090 0.000
0.000 0.000 6.606
Dy Nd Ni Si
1 1 2 2
Direct
0.000 0.000 0.308
0.500 0.500 0.675
0.500 0.000 0.003
0.000 0.500 0.003
0.500 0.500 0.190
0.000 0.000 0.821
```

No. 7
A plane-wave DFT calculation with PBE was carried out for an optimized crystal structure of NdDyNi2Sn.

Output
DFT total energy   -5.459 eV per atom

POSCAR file:
```
NdDyNi2Sn
1.0
-2.148 2.862 4.234
2.148 -2.862 4.234
2.148 2.862 -4.234
Dy Nd Ni Sn
1 1 2 1
Direct
0.702 0.202 0.500
0.297 0.797 0.500
0.712 0.502 0.210
0.292 0.502 0.790
0.996 0.996 0.000
```

No. 8
A plane-wave DFT calculation with PBE was carried out for an optimized crystal structure of Nd2DyNi4Sn4.

Output
DFT total energy   -5.303 eV per atom

POSCAR file:
```
Nd2DyNi4Sn4
1.0
4.335 5.154 4.983
-3.706 3.960 6.385
2.141 -7.208 -3.695
Dy Nd Ni Sn
1 2 4 4
Direct
0.000 0.000 0.000
0.633 0.133 0.500
0.367 0.867 0.500
0.641 0.327 0.314
0.988 0.673 0.314
0.012 0.327 0.686
0.359 0.673 0.686
0.215 0.215 0.000
0.785 0.785 0.000
0.707 0.500 0.207
0.293 0.500 0.793
```

No. 9
A plane-wave DFT calculation with PBE was carried out for an optimized crystal structure of Nd3Dy3NiTe2.

Output
Energy above the lowest structure with this stoichiometry   0.000 eV per atom

POSCAR file:
```
Nd3Dy3NiTe2
1.0
8.529 0.000 0.000
-4.265 7.387 0.000
0.000 0.000 4.005
Dy Nd Ni Te
3 3 1 2
Direct
0.765 0.000 0.500
0.235 0.235 0.500
0.000 0.765 0.500
0.407 0.000 0.000
0.000 0.407 0.000
0.593 0.593 0.000
0.000 0.000 0.000
0.667 0.333 0.500
0.333 0.667 0.500
```

No. 10
A plane-wave DFT calculation with PBE was carried out for an optimized crystal structure of Nd3Dy3NiTe2.

Output
Energy above the lowest structure with this stoichiometry   0.085 eV per atom

POSCAR file:
```
Nd3Dy3NiTe2
1.0
8.604 0.000 0.000
-4.302 7.452 0.000
0.000 0.000 3.899
Dy Nd Ni Te
3 3 1 2
Direct
0.409 0.000 0.000
0.000 0.409 0.000
0.591 0.591 0.000
0.757 0.000 0.500
0.243 0.243 0.500
0.000 0.757 0.500
0.000 0.000 0.000
0.667 0.333 0.500
0.333 0.667 0.500
```

No. 11
A plane-wave DFT calculation with PBE was carried out for an optimized crystal structure of Nd3Dy2YNiTe2.

Output
DFT total energy   -5.391 eV per atom

POSCAR file:
```
Nd3Dy2YNiTe2
1.0
4.025 0.000 0.000
0.000 7.380 4.263
0.000 -7.380 4.263
Dy Nd Ni Te Y
2 3 1 2 1
Direct
0.500 0.000 0.235
0.500 0.235 0.000
0.000 0.594 0.001
0.000 0.405 0.405
0.000 0.001 0.594
0.000 0.003 0.003
0.500 0.667 0.334
0.500 0.334 0.667
0.500 0.762 0.762
```

No. 12
A plane-wave DFT calculation with PBE was carried out for an optimized crystal structure of NdDy3Y2NiTe2.

Output
DFT total energy   -5.544 eV per atom

POSCAR file:
```
NdDy3Y2NiTe2
1.0
3.936 0.000 0.000
0.000 7.323 4.198
0.000 -7.323 4.198
Dy Nd Ni Te Y
3 1 1 2 2
Direct
0.500 0.237 0.002
0.500 0.002 0.237
0.500 0.761 0.761
0.000 0.410 0.410
0.000 0.990 0.990
0.500 0.672 0.330
0.500 0.330 0.672
0.000 0.000 0.598
0.000 0.598 0.000
```

no.,total magnetic moment (μB per formula unit)
1,0.003
2,0.001
3,0.001
4,0.000
5,0.004
6,0.005
7,0.002
8,0.000
9,0.002
10,0.015
11,0.029
12,0.263